Density functional theory data (GGA+U) for a relaxed structure of TaCoPO.

POSCAR file:
```
TaCoPO
1.0
-1.0014 -2.9653 1.0777
4.0660 0.1329 4.1438
-3.8336 2.6310 3.6772
Co O P Ta
2 2 2 2
Cartesian
-1.4389 1.2828 2.1928
-0.1112 2.7044 7.3381
-0.7630 -0.5623 2.8276
-0.6732 0.8188 6.7112
1.6166 1.0182 4.3039
-2.1528 2.2731 4.2545
1.2425 -1.1935 2.9541
-0.7404 0.1198 4.7254
```

Summary:
Total magnetic moment (μB/f.u.): 2.1
Energy above the lowest structure with this stoichiometry (meV per atom): 146.8
Symmetry: No. 26